(1)
## SrZr2ZnHg (GGA-PBE)

Data for crystalline SrZr2ZnHg at its relaxed geometry.

Unit cell a=5.477 b=5.477 c=5.040 alpha=90.00 beta=90.00 gamma=90.00
Space group P4/mmm (No. 123)
Symmetry-distinct sites (fractional):
Sr (0.000, 0.000, 0.000) [1 per cell]
Zr (0.000, 0.500, 0.500) [2 per cell]
Zn (0.500, 0.500, 0.000) [1 per cell]
Hg (0.500, 0.500, 0.500) [1 per cell]

## Properties
The formation energy is 0.709 eV/atom. Its crystal system is tetragonal. As for the calculated volume: 151.2 Å³ per cell. The calculation puts the density of states at the Fermi level at 4.650 states/eV/cell.

---

(2)
## SrZrZnHg2 (GGA-PBE)

Data for crystalline SrZrZnHg2 at its relaxed geometry.

Unit cell a=5.590 b=5.590 c=5.308 alpha=90.00 beta=90.00 gamma=90.00
Space group P4/mmm (No. 123)
Symmetry-distinct sites (fractional):
Sr (0.000, 0.000, 0.000) [1 per cell]
Zr (0.500, 0.500, 0.500) [1 per cell]
Zn (0.000, 0.000, 0.500) [1 per cell]
Hg (0.000, 0.500, 0.000) [2 per cell]

## Properties
The formation energy is 1.054 eV/atom. Its crystal system is tetragonal. As for the calculated volume: 165.9 Å³ per cell. The calculation puts the density of states at the Fermi level at 5.440 states/eV/cell.